Here is Ac2NbN3 after structural relaxation from Alexandria. Energies are from GGA-PBE.

Calculated values
The value obtained for the formation energy (no corrections) is -1.10 eV/atom. The crystal system is orthorhombic. The calculation puts the energy above the most stable polymorph in this dataset at 0.005 eV/atom.

a b c (Å): 7.3763 7.3763 7.3763
angles (deg): 150.28 146.93 45.06
Sites, in units of the cell vectors:
1 Ac 0.1464 0.1464 0.0000
2 Ac 0.8536 0.8536 0.0000
3 Nb 0.5000 0.5000 0.0000
4 N 0.0000 0.5000 0.5000
5 N 0.3455 0.3455 0.0000
6 N 0.6545 0.6545 0.0000